## Mg2HPtRh (PBE-GGA)

Data for a relaxed structure of Mg2HPtRh.

Output
Theoretical density = 8.74 Mg/m³
Offset from the most stable computed form = 0.105 eV per atom
Crystal system = tetragonal

Cell and atoms, written as CIF:
```
data_Mg2HPtRh
_chemical_formula_sum 'Mg2 H1 Pt1 Rh1'
_cell_length_a 4.3650
_cell_length_b 4.3650
_cell_length_c 3.4643
_cell_angle_alpha 90.00
_cell_angle_beta 90.00
_cell_angle_gamma 90.00
_space_group_name_H-M_alt 'P 4/m m m'
_space_group_IT_number 123
_space_group_name_Hall '-P 4 2'
loop_
_atom_site_label
_atom_site_type_symbol
_atom_site_fract_x
_atom_site_fract_y
_atom_site_fract_z
Mg1 Mg 0.0000 0.5000 0.0000
H1 H 0.0000 0.0000 0.0000
Pt1 Pt 0.0000 0.0000 0.5000
Rh1 Rh 0.5000 0.5000 0.5000
```


## MgH6Pt2Rh (PBE-GGA)

Data for a relaxed structure of MgH6Pt2Rh.

Output
E_tot = -42.5 eV/cell
Theoretical density = 9.52 Mg/m³
Crystal system = triclinic

Cell and atoms, written as CIF:
```
data_MgH6Pt2Rh
_chemical_formula_sum 'Mg1 H6 Pt2 Rh1'
_cell_length_a 4.2785
_cell_length_b 5.0410
_cell_length_c 5.1059
_cell_angle_alpha 82.57
_cell_angle_beta 65.28
_cell_angle_gamma 65.98
_space_group_name_H-M_alt 'P 1'
_space_group_IT_number 1
_space_group_name_Hall 'P 1'
loop_
_atom_site_label
_atom_site_type_symbol
_atom_site_fract_x
_atom_site_fract_y
_atom_site_fract_z
Mg1 Mg 0.0000 0.0000 0.0000
H1 H 0.1573 0.3690 0.8544
H2 H 0.3523 0.1788 0.4126
H3 H 0.5402 0.8800 0.0099
H4 H 0.6182 0.3470 0.8713
H5 H 0.7471 0.4906 0.4477
H6 H 0.9218 0.9112 0.5771
Pt1 Pt 0.1977 0.4255 0.1630
Pt2 Pt 0.3932 0.8184 0.3820
Rh1 Rh 0.8135 0.6089 0.7492
```


Please write out number 1 again, unchanged.
## Mg2HPtRh (PBE-GGA)

Data for a relaxed structure of Mg2HPtRh.

Output
Theoretical density = 8.74 Mg/m³
Offset from the most stable computed form = 0.105 eV per atom
Crystal system = tetragonal

Cell and atoms, written as CIF:
```
data_Mg2HPtRh
_chemical_formula_sum 'Mg2 H1 Pt1 Rh1'
_cell_length_a 4.3650
_cell_length_b 4.3650
_cell_length_c 3.4643
_cell_angle_alpha 90.00
_cell_angle_beta 90.00
_cell_angle_gamma 90.00
_space_group_name_H-M_alt 'P 4/m m m'
_space_group_IT_number 123
_space_group_name_Hall '-P 4 2'
loop_
_atom_site_label
_atom_site_type_symbol
_atom_site_fract_x
_atom_site_fract_y
_atom_site_fract_z
Mg1 Mg 0.0000 0.5000 0.0000
H1 H 0.0000 0.0000 0.0000
Pt1 Pt 0.0000 0.0000 0.5000
Rh1 Rh 0.5000 0.5000 0.5000
```


The highest theoretical density belongs to which entry? MgH6Pt2Rh


The highest theoretical density belongs to which entry? MgH6Pt2Rh


Which formula does entry 1 have? Mg2HPtRh